Al6CoCu3: relaxed, GGA-PBEsol.

abc: 4.075 4.075 9.813
angles: 90.00 90.00 120.00
Fractional coordinates of all 10 atoms:
Al  0.000  0.000  0.000
Al  0.000  0.000  0.469
Al  0.333  0.667  0.145
Al  0.333  0.667  0.651
Al  0.667  0.333  0.286
Al  0.667  0.333  0.801
Co  0.667  0.333  0.043
Cu  0.333  0.667  0.398
Cu  0.333  0.667  0.898
Cu  0.667  0.333  0.548

Computed properties:
* energy of formation: -0.31 eV per atom
* SG: No. 156

***

Al12Co4Cu: relaxed, GGA-PBEsol.

abc: 8.537 8.537 12.281
angles: 106.04 106.04 55.56
Fractional coordinates of all 51 atoms:
Al  0.021  0.021  0.169
Al  0.078  0.662  0.479
Al  0.094  0.648  0.111
Al  0.101  0.528  0.886
Al  0.106  0.537  0.663
Al  0.168  0.168  0.720
Al  0.201  0.201  0.231
Al  0.224  0.758  0.327
Al  0.242  0.776  0.673
Al  0.249  0.751  0.000
Al  0.261  0.261  0.039
Al  0.264  0.264  0.466
Al  0.338  0.922  0.521
Al  0.352  0.906  0.889
Al  0.424  0.424  0.412
Al  0.444  0.444  0.825
Al  0.463  0.894  0.337
Al  0.472  0.899  0.114
Al  0.528  0.101  0.886
Al  0.537  0.106  0.663
Al  0.556  0.556  0.175
Al  0.576  0.576  0.588
Al  0.648  0.094  0.111
Al  0.662  0.078  0.479
Al  0.736  0.736  0.534
Al  0.739  0.739  0.961
Al  0.751  0.249  0.000
Al  0.758  0.224  0.327
Al  0.776  0.242  0.673
Al  0.799  0.799  0.769
Al  0.832  0.832  0.280
Al  0.894  0.463  0.337
Al  0.899  0.472  0.114
Al  0.906  0.352  0.889
Al  0.922  0.338  0.521
Al  0.979  0.979  0.831
Co  0.099  0.537  0.280
Co  0.101  0.101  0.017
Co  0.103  0.103  0.370
Co  0.408  0.408  0.004
Co  0.413  0.413  0.610
Co  0.463  0.901  0.720
Co  0.537  0.099  0.280
Co  0.587  0.587  0.390
Co  0.592  0.592  0.996
Co  0.897  0.897  0.630
Co  0.899  0.899  0.983
Co  0.901  0.463  0.720
Cu  0.000  0.000  0.500
Cu  0.409  0.409  0.213
Cu  0.591  0.591  0.787

Computed properties:
* energy of formation: -0.42 eV per atom
* SG: No. 12

***

Li2AlCoCu: relaxed, GGA-PBEsol.

abc: 4.175 4.175 4.522
angles: 90.00 90.00 90.00
Fractional coordinates of all 5 atoms:
Li  0.000  0.500  0.000
Li  0.500  0.000  0.000
Al  0.000  0.000  0.500
Co  0.500  0.500  0.500
Cu  0.000  0.000  0.000

Computed properties:
* energy of formation: 0.67 eV per atom
* SG: No. 123

***

Sr2AlCoCu2O7: relaxed, GGA-PBEsol.

abc: 11.840 11.840 11.840
angles: 36.77 154.24 154.22
Fractional coordinates of all 26 atoms:
Sr  0.008  0.149  0.157
Sr  0.008  0.351  0.359
Sr  0.992  0.649  0.641
Sr  0.992  0.851  0.843
Al  0.994  0.494  0.500
Al  0.994  0.994  0.000
Co  0.465  0.787  0.178
Co  0.609  0.287  0.822
Cu  0.494  0.554  0.059
Cu  0.494  0.935  0.440
Cu  0.495  0.054  0.560
Cu  0.495  0.435  0.941
O  0.352  0.118  0.123
O  0.352  0.728  0.734
O  0.479  0.165  0.659
O  0.479  0.320  0.814
O  0.506  0.665  0.186
O  0.506  0.820  0.341
O  0.635  0.370  0.376
O  0.635  0.759  0.765
O  0.747  0.121  0.126
O  0.994  0.228  0.877
O  0.994  0.259  0.624
O  0.994  0.618  0.266
O  0.994  0.870  0.235
O  0.995  0.621  0.874

Computed properties:
* SG: No. 46
* formation energy from raw total energies: -23.148 eV/f.u.

***

Dy2AlCo3: relaxed, GGA-PBEsol.

abc: 4.879 4.879 4.879
angles: 64.99 64.99 64.99
Fractional coordinates of all 6 atoms:
Dy  0.128  0.128  0.128
Dy  0.872  0.872  0.872
Al  0.500  0.500  0.500
Co  0.000  0.500  0.500
Co  0.500  0.000  0.500
Co  0.500  0.500  0.000

Computed properties:
* energy of formation: -0.33 eV per atom
* SG: No. 166

***

Dy2Al3Co: relaxed, GGA-PBEsol.

abc: 5.294 5.294 5.294
angles: 61.43 61.43 61.43
Fractional coordinates of all 6 atoms:
Dy  0.126  0.126  0.126
Dy  0.874  0.874  0.874
Al  0.000  0.500  0.500
Al  0.500  0.000  0.500
Al  0.500  0.500  0.000
Co  0.500  0.500  0.500

Computed properties:
* energy of formation: -0.45 eV per atom
* SG: No. 166

***

Dy3AlCoS7: relaxed, GGA-PBEsol.

abc: 9.350 9.350 6.064
angles: 90.00 90.00 120.00
Fractional coordinates of all 24 atoms:
Dy  0.161  0.786  0.000
Dy  0.214  0.374  0.000
Dy  0.374  0.161  0.500
Dy  0.626  0.839  0.000
Dy  0.786  0.626  0.500
Dy  0.839  0.214  0.500
Al  0.333  0.667  0.575
Al  0.667  0.333  0.075
Co  0.000  0.000  0.159
Co  0.000  0.000  0.659
S  0.083  0.522  0.726
S  0.098  0.875  0.407
S  0.125  0.224  0.407
S  0.224  0.098  0.907
S  0.333  0.667  0.210
S  0.439  0.917  0.726
S  0.478  0.561  0.726
S  0.522  0.439  0.226
S  0.561  0.083  0.226
S  0.667  0.333  0.710
S  0.776  0.902  0.407
S  0.875  0.776  0.907
S  0.902  0.125  0.907
S  0.917  0.478  0.226

Computed properties:
* SG: No. 173
* formation energy from raw total energies: -19.305 eV/f.u.

***

Er2AlCo3: relaxed, GGA-PBEsol.

abc: 4.862 4.862 4.862
angles: 64.75 64.75 64.75
Fractional coordinates of all 6 atoms:
Er  0.128  0.128  0.128
Er  0.872  0.872  0.872
Al  0.500  0.500  0.500
Co  0.000  0.500  0.500
Co  0.500  0.000  0.500
Co  0.500  0.500  0.000

Computed properties:
* energy of formation: -0.36 eV per atom
* SG: No. 166

***

Er2Al4CoGe2: relaxed, GGA-PBEsol.

abc: 10.037 10.037 10.037
angles: 156.66 156.66 33.24
Fractional coordinates of all 9 atoms:
Er  0.185  0.185  0.000
Er  0.815  0.815  0.000
Al  0.066  0.566  0.500
Al  0.434  0.934  0.500
Al  0.566  0.066  0.500
Al  0.934  0.434  0.500
Co  0.000  0.000  0.000
Ge  0.335  0.335  0.000
Ge  0.665  0.665  0.000

Computed properties:
* energy of formation: -0.67 eV per atom
* SG: No. 139